Here is an optimized crystal structure of LaZn22 from the Alexandria database. Energies are from PBE.

volume: 16.3 Å³/atom

The structure in POSCAR format:
```
LaZn22
1.0
0.0000 7.2126 7.2126
7.2126 0.0000 7.2126
7.2126 7.2126 0.0000
La Zn
2 44
Direct
0.1250 0.1250 0.1250 La
0.8750 0.8750 0.8750 La
0.0000 0.0000 0.0000 Zn
0.0000 0.0000 0.5000 Zn
0.0000 0.5000 0.0000 Zn
0.0000 0.5000 0.5000 Zn
0.0571 0.3230 0.3230 Zn
0.0571 0.3230 0.7969 Zn
0.0571 0.7969 0.3230 Zn
0.2031 0.6770 0.6770 Zn
0.2031 0.6770 0.9429 Zn
0.2031 0.9429 0.6770 Zn
0.2387 0.2387 0.5113 Zn
0.2387 0.5113 0.2387 Zn
0.2387 0.5113 0.5113 Zn
0.3230 0.0571 0.3230 Zn
0.3230 0.0571 0.7969 Zn
0.3230 0.3230 0.0571 Zn
0.3230 0.3230 0.7969 Zn
0.3230 0.7969 0.0571 Zn
0.3230 0.7969 0.3230 Zn
0.4887 0.4887 0.7613 Zn
0.4887 0.7613 0.4887 Zn
0.4887 0.7613 0.7613 Zn
0.5000 0.0000 0.0000 Zn
0.5000 0.0000 0.5000 Zn
0.5000 0.5000 0.0000 Zn
0.5000 0.5000 0.5000 Zn
0.5113 0.2387 0.2387 Zn
0.5113 0.2387 0.5113 Zn
0.5113 0.5113 0.2387 Zn
0.6770 0.2031 0.6770 Zn
0.6770 0.2031 0.9429 Zn
0.6770 0.6770 0.2031 Zn
0.6770 0.6770 0.9429 Zn
0.6770 0.9429 0.2031 Zn
0.6770 0.9429 0.6770 Zn
0.7613 0.4887 0.4887 Zn
0.7613 0.4887 0.7613 Zn
0.7613 0.7613 0.4887 Zn
0.7969 0.0571 0.3230 Zn
0.7969 0.3230 0.0571 Zn
0.7969 0.3230 0.3230 Zn
0.9429 0.2031 0.6770 Zn
0.9429 0.6770 0.2031 Zn
0.9429 0.6770 0.6770 Zn
```

***

Here is an optimized crystal structure of BaInMo3 from the Alexandria database. Energies are from PBE.

energy above the lowest structure with this stoichiometry: 4.06 eV/f.u.
volume: 25.3 Å³/atom

The structure in POSCAR format:
```
BaInMo3
1.0
5.0208 0.0000 0.0000
0.0000 5.0208 0.0000
0.0000 0.0000 5.0208
Ba In Mo
1 1 3
Direct
0.0000 0.0000 0.0000 Ba
0.5000 0.5000 0.5000 In
0.0000 0.0000 0.5000 Mo
0.0000 0.5000 0.0000 Mo
0.5000 0.0000 0.0000 Mo
```

***

Here is an optimized crystal structure of TaCrW4 from the Alexandria database. Energies are from PBE.

energy above the lowest structure with this stoichiometry: 0.00 eV/f.u.
volume: 15.8 Å³/atom

The structure in POSCAR format:
```
TaCrW4
1.0
3.1565 0.0000 0.0000
0.0000 3.1565 0.0000
0.0000 0.0000 9.4899
Ta Cr W
1 1 4
Direct
0.0000 0.0000 0.0000 Ta
0.5000 0.5000 0.5000 Cr
0.0000 0.0000 0.3428 W
0.0000 0.0000 0.6572 W
0.5000 0.5000 0.1761 W
0.5000 0.5000 0.8239 W
```

***

no.,density (kg/m³),energy of formation from the pure elements (eV/atom)
1,6983,-0.04
2,7084,2.89
3,17005,-0.02